This record from the Alexandria database describes a geometry-optimized RbPuSn2O8 structure. The functional is PBE-GGA.

Unit cell a=5.2048 b=6.7383 c=5.2171 alpha=90.00 beta=92.58 gamma=90.00
With the nearest neighbours (Å) after each atom.
Space group P2/m (No. 10)
One atom of each set of equivalent atoms:
Rb 0.0000 0.0000 0.0000 [1 per cell]  6 O 2.54
Pu 0.0000 0.5000 0.0000 [1 per cell]  4 O 1.94
Sn 0.5000 0.2537 0.5000 [2 per cell]  6 O 2.11-2.18
O 0.2035 0.3093 0.1999 [4 per cell]  1 Pu 1.94
O 0.3135 0.5000 0.6837 [2 per cell]  2 Sn 2.17, 1 Pu 2.37
O 0.3335 0.0000 0.6598 [2 per cell]  2 Sn 2.11

Output
The calculation puts the density of states at the Fermi level at 0.28 states/eV per atom. The total magnetic moment is 1.592 μB per formula unit. The energy relative to the elements, uncorrected is -1641 meV per atom.

---

This record from the Alexandria database describes a geometry-optimized MnCr2P structure. The functional is PBE-GGA.

Unit cell a=6.3060 b=6.3060 c=4.8984 alpha=90.00 beta=90.00 gamma=90.00
With the nearest neighbours (Å) after each atom.
Space group I-42d (No. 122)
One atom of each set of equivalent atoms:
Mn 0.0000 0.0000 0.0000 [4 per cell]  4 Cr 2.28, 2 P 2.45
Cr 0.2429 0.2500 0.1250 [8 per cell]  2 Mn 2.28, 2 P 2.34, 2 Cr 2.45
P 0.0000 0.0000 0.5000 [4 per cell]  4 Cr 2.34, 2 Mn 2.45

Output
The calculation puts the density of states at the Fermi level at 1.60 states/eV per atom. For the formation enthalpy at 0 K, the calculation gives 37.4 kJ/mol of atoms. The total magnetic moment is 0.000 μB per formula unit.

---

This record from the Alexandria database describes a geometry-optimized Mg2CrP structure. The functional is PBE-GGA.

Unit cell a=3.4310 b=4.0102 c=10.6855 alpha=90.00 beta=90.00 gamma=90.00
With the nearest neighbours (Å) after each atom.
Space group Amm2 (No. 38)
One atom of each set of equivalent atoms:
Mg 0.0000 0.0000 0.0000 [2 per cell]  1 P 2.70, 4 Cr 2.87
Mg 0.5000 0.0000 0.3186 [2 per cell]  4 P 2.75, 3 Cr 3.04-3.05
Cr 0.5000 0.0000 0.6045 [2 per cell]  2 P 2.29
P 0.0000 0.0000 0.7470 [2 per cell]  2 Cr 2.29

Output
The calculation puts the density of states at the Fermi level at 0.63 states/eV per atom. For the formation enthalpy at 0 K, the calculation gives -5.7 kJ/mol of atoms. The total magnetic moment is 2.934 μB per formula unit.

---

This record from the Alexandria database describes a geometry-optimized AgHPt3 structure. The functional is PBE-GGA.

Unit cell a=4.9431 b=4.9431 c=4.9431 alpha=90.00 beta=90.00 gamma=90.00
With the nearest neighbours (Å) after each atom.
Space group Pm-3m (No. 221)
One atom of each set of equivalent atoms:
Ag 0.0000 0.0000 0.0000 [1 per cell]  6 Pt 2.47
H 0.5000 0.5000 0.5000 [1 per cell]  12 Pt 3.50
Pt 0.0000 0.0000 0.5000 [3 per cell]  2 Ag 2.47

Output
The calculation puts the density of states at the Fermi level at 0.76 states/eV per atom. The total magnetic moment is 0.794 μB per formula unit. For the energy relative to the lowest polymorph listed for this composition, the calculation gives 2.002 eV per atom.

---

This record from the Alexandria database describes a geometry-optimized CdNi2Se structure. The functional is PBE-GGA.

Unit cell a=4.3068 b=4.3068 c=3.2324 alpha=90.00 beta=90.00 gamma=90.00
With the nearest neighbours (Å) after each atom.
Space group P4/mmm (No. 123)
One atom of each set of equivalent atoms:
Cd 0.0000 0.0000 0.0000 [1 per cell]  8 Ni 2.69
Ni 0.0000 0.5000 0.5000 [2 per cell]  4 Cd 2.69, 4 Se 2.69
Se 0.5000 0.5000 0.0000 [1 per cell]  8 Ni 2.69

Output
The calculation puts the density of states at the Fermi level at 0.64 states/eV per atom. The total magnetic moment is 0.000 μB per formula unit. For the energy relative to the lowest polymorph listed for this composition, the calculation gives 0.164 eV per atom. The energy relative to the elements, uncorrected is 129 meV per atom.

---

This record from the Alexandria database describes a geometry-optimized SmMg2Pb5 structure. The functional is PBE-GGA.

Unit cell a=6.5855 b=12.5950 c=5.5348 alpha=90.00 beta=90.00 gamma=90.00
With the nearest neighbours (Å) after each atom.
Space group Pbam (No. 55)
One atom of each set of equivalent atoms:
Sm 0.0000 0.0000 0.0000 [2 per cell]  8 Pb 3.29-3.42
Mg 0.1847 0.3871 0.5000 [4 per cell]  8 Pb 3.16-3.34
Pb 0.0000 0.5000 0.0000 [2 per cell]  2 Sm 3.29, 4 Mg 3.34, 4 Pb 3.53-3.60
Pb 0.1826 0.1282 0.5000 [4 per cell]  4 Mg 3.16-3.31, 2 Pb 3.29, 2 Sm 3.42
Pb 0.2088 0.7581 0.0000 [4 per cell]  2 Mg 3.28, 6 Pb 3.29-3.60, 1 Sm 3.34

Output
The calculation puts the density of states at the Fermi level at 0.59 states/eV per atom. For the formation enthalpy at 0 K, the calculation gives -12.9 kJ/mol of atoms. The total magnetic moment is 0.000 μB per formula unit.

---

This record from the Alexandria database describes a geometry-optimized In2MoAs structure. The functional is PBE-GGA.

Unit cell a=10.4691 b=3.3540 c=4.6019 alpha=90.00 beta=95.27 gamma=90.00
With the nearest neighbours (Å) after each atom.
Space group C2/m (No. 12)
One atom of each set of equivalent atoms:
In 0.2350 0.0000 0.2415 [4 per cell]  4 In 2.82-2.90, 1 As 2.83, 3 Mo 3.08-3.10
Mo 0.0000 0.5000 0.0000 [2 per cell]  4 As 2.85, 6 In 3.08-3.10
As 0.0000 0.0000 0.5000 [2 per cell]  2 In 2.83, 4 Mo 2.85

Output
The calculation puts the density of states at the Fermi level at 0.81 states/eV per atom. For the formation enthalpy at 0 K, the calculation gives 45.2 kJ/mol of atoms. The total magnetic moment is 1.034 μB per formula unit.

---

This record from the Alexandria database describes a geometry-optimized Sm6Sb2TePb3 structure. The functional is PBE-GGA.

Unit cell a=19.9257 b=4.3593 c=9.2679 alpha=90.00 beta=106.83 gamma=90.00
With the nearest neighbours (Å) after each atom.
Space group C2/m (No. 12)
One atom of each set of equivalent atoms:
Sm 0.0021 0.0000 0.2500 [4 per cell]  1 Sb 3.14, 2 Te 3.17, 3 Pb 3.19-3.21
Sm 0.1661 0.5000 0.0905 [4 per cell]  2 Sb 3.13, 1 Te 3.17, 3 Pb 3.21-3.23
Sm 0.1687 0.5000 0.5776 [4 per cell]  3 Sb 3.14-3.15, 3 Pb 3.23-3.24
Sb 0.1663 0.0000 0.3328 [4 per cell]  6 Sm 3.13-3.15
Te 0.0000 0.5000 0.0000 [2 per cell]  6 Sm 3.17
Pb 0.0000 0.5000 0.5000 [2 per cell]  6 Sm 3.19-3.23
Pb 0.1659 0.0000 0.8339 [4 per cell]  6 Sm 3.21-3.24

Output
The calculation puts the density of states at the Fermi level at 0.58 states/eV per atom. The total magnetic moment is 0.000 μB per formula unit. The energy relative to the elements, uncorrected is -865 meV per atom.

---

This record from the Alexandria database describes a geometry-optimized AlBi3O6 structure. The functional is PBE-GGA.

Unit cell a=5.4866 b=6.1917 c=9.8031 alpha=90.00 beta=123.37 gamma=90.00
With the nearest neighbours (Å) after each atom.
Space group P2_1/c (No. 14)
One atom of each set of equivalent atoms:
Al 0.0000 0.0000 0.0000 [2 per cell]  6 O 1.95-1.99
Bi 0.2861 0.0495 0.7753 [4 per cell]  6 O 2.30-2.54
Bi 0.5000 0.0000 0.5000 [2 per cell]  6 O 2.38-2.42
O 0.1090 0.0684 0.2213 [4 per cell]  1 Al 1.95
O 0.2543 0.7402 0.0821 [4 per cell]  1 Al 1.99
O 0.3341 0.1567 0.0270 [4 per cell]  1 Al 1.96

Output
The calculation puts the density of states at the Fermi level at 0.00 states/eV per atom. The total magnetic moment is 0.000 μB per formula unit. For the energy relative to the lowest polymorph listed for this composition, the calculation gives 0.065 eV per atom. The energy relative to the elements, uncorrected is -1569 meV per atom.

---

This record from the Alexandria database describes a geometry-optimized Sc3BeNb structure. The functional is PBE-GGA.

Unit cell a=5.0336 b=5.0336 c=5.0336 alpha=90.00 beta=90.00 gamma=90.00
With the nearest neighbours (Å) after each atom.
Space group Pm-3m (No. 221)
One atom of each set of equivalent atoms:
Sc 0.0000 0.0000 0.5000 [3 per cell]  2 Nb 2.52
Be 0.5000 0.5000 0.5000 [1 per cell]  12 Sc 3.56
Nb 0.0000 0.0000 0.0000 [1 per cell]  6 Sc 2.52

Output
The calculation puts the density of states at the Fermi level at 1.24 states/eV per atom. For the formation enthalpy at 0 K, the calculation gives 97.1 kJ/mol of atoms. The total magnetic moment is 0.000 μB per formula unit. For the energy relative to the lowest polymorph listed for this composition, the calculation gives 0.431 eV per atom.

---

This record from the Alexandria database describes a geometry-optimized TbPrZnIr structure. The functional is PBE-GGA.

Unit cell a=4.3590 b=4.0241 c=10.9121 alpha=90.00 beta=90.00 gamma=90.00
With the nearest neighbours (Å) after each atom.
Space group Amm2 (No. 38)
One atom of each set of equivalent atoms:
Tb 0.0000 0.0000 0.0000 [2 per cell]  3 Zn 3.00-3.23, 4 Ir 3.05
Pr 0.5000 0.0000 0.2796 [2 per cell]  4 Zn 3.08, 3 Ir 3.10
Zn 0.0000 0.0000 0.7039 [2 per cell]  2 Ir 2.66
Ir 0.5000 0.0000 0.5636 [2 per cell]  2 Zn 2.66

Output
The calculation puts the density of states at the Fermi level at 0.77 states/eV per atom. For the formation enthalpy at 0 K, the calculation gives -51.5 kJ/mol of atoms. The total magnetic moment is 0.000 μB per formula unit. For the energy relative to the lowest polymorph listed for this composition, the calculation gives 0.000 eV per atom.

---

This record from the Alexandria database describes a geometry-optimized YRu structure. The functional is PBE-GGA.

Unit cell a=3.1671 b=3.1671 c=8.6962 alpha=90.00 beta=90.00 gamma=90.00
With the nearest neighbours (Å) after each atom.
Space group P4/nmm (No. 129, origin choice 2)
One atom of each set of equivalent atoms:
Y 0.2500 0.2500 0.1881 [2 per cell]  4 Ru 3.01, 4 Y 3.17
Ru 0.2500 0.2500 0.5801 [2 per cell]  4 Ru 2.64

Output
The calculation puts the density of states at the Fermi level at 0.83 states/eV per atom. For the formation enthalpy at 0 K, the calculation gives 7.9 kJ/mol of atoms. The total magnetic moment is 0.000 μB per formula unit.

---

This record from the Alexandria database describes a geometry-optimized Zr2AlH structure. The functional is PBE-GGA.

Unit cell a=6.4927 b=6.4927 c=6.3653 alpha=90.00 beta=90.00 gamma=90.00
With the nearest neighbours (Å) after each atom.
Space group I-42d (No. 122)
One atom of each set of equivalent atoms:
Zr 0.1699 0.2500 0.1250 [8 per cell]  2 H 2.12
Al 0.0000 0.0000 0.5000 [4 per cell]  8 Zr 2.80-3.09
H 0.0000 0.0000 0.0000 [4 per cell]  4 Zr 2.12

Output
The calculation puts the density of states at the Fermi level at 1.19 states/eV per atom. The total magnetic moment is 0.001 μB per formula unit. For the energy relative to the lowest polymorph listed for this composition, the calculation gives 0.120 eV per atom.

---

| no. | energy (eV per atom) |
| --- | --- |
| 1 | -6.8882 |
| 2 | -8.0685 |
| 3 | -4.6143 |
| 4 | -2.7997 |
| 5 | -3.8613 |
| 6 | -3.4396 |
| 7 | -4.7706 |
| 8 | -5.1002 |
| 9 | -6.0825 |
| 10 | -5.5516 |
| 11 | -5.4199 |
| 12 | -7.7880 |
| 13 | -6.2862 |